Record 1
## AsIrBr2 (PBE)

Data for a relaxed AsIrBr2 crystal.

abc: 5.253 5.253 4.333
angles: 69.45 69.45 114.73
Sites, in units of the cell vectors:
As 0.000 0.500 0.500
Ir 0.500 0.000 0.500
Br 0.000 0.000 0.000
Br 0.500 0.500 0.000

Results
formation energy from raw total energies = 0.7691 eV per atom
SG = C2/m (12)
energy above the lowest structure with this stoichiometry = 1.075 eV/atom
E_tot = -3.44 eV/atom

=====

Record 2
## PmDy2Zn9 (PBE)

Data for a relaxed PmDy2Zn9 crystal.

abc: 5.464 5.464 9.170
angles: 72.67 72.67 60.00
Sites, in units of the cell vectors:
Zn 0.923 0.414 0.249
Zn 0.500 0.500 0.500
Zn 0.414 0.414 0.249
Zn 0.414 0.923 0.249
Zn 0.586 0.586 0.751
Dy 0.860 0.860 0.421
Zn 0.335 0.335 0.995
Dy 0.140 0.140 0.579
Zn 0.586 0.077 0.751
Zn 0.665 0.665 0.005
Zn 0.077 0.586 0.751
Pm 0.000 0.000 0.000

Results
E_form = -320 meV per atom
SG = R-3m (166)
E_tot = -2.44 eV/atom

=====

- What is the E_tot in the second record?
  -2.44 eV/atom

=====

- Look up the E_tot of the first one.
  -3.44 eV/atom

=====

- Which value of E_tot does entry 2 give?
  -2.44 eV/atom